Entry 1:
{
  "formula": "CsTh2CuS5",
  "functional": "GGA-PBE",
  "state": "optimized geometry",
  "lattice_angstrom": [[-3.9743, 3.9743, 6.9771], [3.9743, -3.9743, 6.9771], [3.9743, 3.9743, -6.9771]],
  "species": ["Cs", "Cs", "Th", "Th", "Th", "Th", "Cu", "Cu", "S", "S", "S", "S", "S", "S", "S", "S", "S", "S"],
  "frac_coords": [[0.2500, 0.2500, 0.0000], [0.7500, 0.7500, 0.0000], [0.1668, 0.6668, 0.8335], [0.3332, 0.1668, 0.5000], [0.6668, 0.8332, 0.5000], [0.8332, 0.3332, 0.1665], [0.2500, 0.7500, 0.5000], [0.7500, 0.2500, 0.5000], [0.0000, 0.0000, 0.0000], [0.0154, 0.2369, 0.5000], [0.2369, 0.7369, 0.2215], [0.2631, 0.4846, 0.5000], [0.4846, 0.9846, 0.2215], [0.5000, 0.5000, 0.0000], [0.5154, 0.0154, 0.7785], [0.7369, 0.5154, 0.5000], [0.7631, 0.2631, 0.7785], [0.9846, 0.7631, 0.5000]],
  "spacegroup": "No. 140",
  "final_energy_ev_per_atom": -6.07,
  "raw_formation_energy_ev_per_atom": -1.58
}


Entry 2:
{
  "formula": "K3MnS",
  "functional": "GGA-PBE",
  "state": "optimized geometry",
  "lattice_angstrom": [[6.1009, 0.0000, 0.0000], [0.0000, 6.1009, 0.0000], [0.0000, 0.0000, 6.1009]],
  "species": ["K", "K", "K", "Mn", "S"],
  "frac_coords": [[0.0000, 0.0000, 0.5000], [0.0000, 0.5000, 0.0000], [0.5000, 0.0000, 0.0000], [0.5000, 0.5000, 0.5000], [0.0000, 0.0000, 0.0000]],
  "spacegroup": "No. 221",
  "final_energy_ev_per_atom": -3.32,
  "raw_formation_energy_ev_per_atom": 0.00
}


Entry 3:
{
  "formula": "Pm4MgFe",
  "functional": "GGA-PBE",
  "state": "optimized geometry",
  "lattice_angstrom": [[8.4824, -3.6499, 0.0000], [8.4824, 3.6499, 0.0000], [-2.0477, 0.0000, 5.6515]],
  "species": ["Pm", "Pm", "Pm", "Pm", "Pm", "Pm", "Pm", "Pm", "Mg", "Mg", "Fe", "Fe"],
  "frac_coords": [[0.1245, 0.6394, 0.3859], [0.2377, 0.7623, 0.0000], [0.3163, 0.3163, 0.8033], [0.3606, 0.8755, 0.6141], [0.6394, 0.1245, 0.3859], [0.6837, 0.6837, 0.1967], [0.7623, 0.2377, 0.0000], [0.8755, 0.3606, 0.6141], [0.1933, 0.1933, 0.1899], [0.8067, 0.8067, 0.8101], [0.4801, 0.4801, 0.6596], [0.5199, 0.5199, 0.3404]],
  "spacegroup": "No. 12",
  "final_energy_ev_per_atom": -4.80
}


Entry 4:
{
  "formula": "La2PmPrY5",
  "functional": "GGA-PBE",
  "state": "optimized geometry",
  "lattice_angstrom": [[-4.3719, 4.3719, 7.9708], [4.3719, -4.3719, 7.9708], [4.3719, 4.3719, -7.9708]],
  "species": ["La", "La", "La", "La", "Pm", "Pm", "Pr", "Pr", "Y", "Y", "Y", "Y", "Y", "Y", "Y", "Y", "Y", "Y"],
  "frac_coords": [[0.1176, 0.6176, 0.7352], [0.3824, 0.1176, 0.5000], [0.6176, 0.8824, 0.5000], [0.8824, 0.3824, 0.2648], [0.2500, 0.2500, 0.0000], [0.7500, 0.7500, 0.0000], [0.2500, 0.7500, 0.5000], [0.7500, 0.2500, 0.5000], [0.0000, 0.0000, 0.0000], [0.0726, 0.1489, 0.5000], [0.1489, 0.6489, 0.0763], [0.3511, 0.4274, 0.5000], [0.4274, 0.9274, 0.0763], [0.5000, 0.5000, 0.0000], [0.5726, 0.0726, 0.9237], [0.6489, 0.5726, 0.5000], [0.8511, 0.3511, 0.9237], [0.9274, 0.8511, 0.5000]],
  "spacegroup": "No. 140",
  "final_energy_ev_per_atom": -5.52
}


Entry 5:
{
  "formula": "Mg3ZnPd4",
  "functional": "GGA-PBE",
  "state": "optimized geometry",
  "lattice_angstrom": [[13.3887, 0.0000, 0.0000], [0.0000, 4.4471, 0.0000], [-1.4653, 0.0000, 4.1991]],
  "species": ["Mg", "Mg", "Mg", "Mg", "Mg", "Mg", "Zn", "Zn", "Pd", "Pd", "Pd", "Pd", "Pd", "Pd", "Pd", "Pd"],
  "frac_coords": [[0.0000, 0.0000, 0.0000], [0.2482, 0.5000, 0.7483], [0.2518, 0.0000, 0.2517], [0.5000, 0.5000, 0.0000], [0.7482, 0.0000, 0.7483], [0.7518, 0.5000, 0.2517], [0.0000, 0.5000, 0.5000], [0.5000, 0.0000, 0.5000], [0.1222, 0.0000, 0.6222], [0.1222, 0.5000, 0.1225], [0.3778, 0.0000, 0.8775], [0.3778, 0.5000, 0.3778], [0.6222, 0.0000, 0.1225], [0.6222, 0.5000, 0.6222], [0.8778, 0.0000, 0.3778], [0.8778, 0.5000, 0.8775]],
  "spacegroup": "No. 12",
  "final_energy_ev_per_atom": -4.05
}


Entry 6:
{
  "formula": "LiCoPd2",
  "functional": "GGA-PBE",
  "state": "optimized geometry",
  "lattice_angstrom": [[3.7933, 0.0000, 0.0000], [0.0000, 3.7933, 0.0000], [0.0000, 0.0000, 16.8914]],
  "species": ["Li", "Li", "Li", "Li", "Co", "Co", "Co", "Co", "Pd", "Pd", "Pd", "Pd", "Pd", "Pd", "Pd", "Pd"],
  "frac_coords": [[0.0000, 0.0000, 0.0000], [0.0000, 0.5000, 0.2500], [0.5000, 0.0000, 0.7500], [0.5000, 0.5000, 0.5000], [0.0000, 0.0000, 0.5000], [0.0000, 0.5000, 0.7500], [0.5000, 0.0000, 0.2500], [0.5000, 0.5000, 0.0000], [0.2504, 0.2500, 0.1250], [0.2496, 0.2500, 0.6250], [0.2500, 0.7504, 0.3750], [0.2500, 0.7496, 0.8750], [0.7500, 0.2496, 0.3750], [0.7500, 0.2504, 0.8750], [0.7496, 0.7500, 0.1250], [0.7504, 0.7500, 0.6250]],
  "spacegroup": "No. 122",
  "final_energy_ev_per_atom": -4.59
}


Entry 7:
{
  "formula": "Na2PuNpO8",
  "functional": "GGA-PBE",
  "state": "optimized geometry",
  "lattice_angstrom": [[3.7111, -3.5065, 0.0000], [3.7111, 3.5065, 0.0000], [-0.3608, 0.0000, 6.9724]],
  "species": ["Na", "Na", "Pu", "Np", "O", "O", "O", "O", "O", "O", "O", "O"],
  "frac_coords": [[0.0008, 0.0008, 0.2502], [0.9992, 0.9992, 0.7498], [0.5000, 0.5000, 0.0000], [0.5000, 0.5000, 0.5000], [0.2350, 0.7650, 0.5000], [0.2371, 0.7629, 0.0000], [0.3301, 0.3301, 0.2696], [0.3300, 0.3300, 0.7711], [0.6700, 0.6700, 0.2289], [0.6699, 0.6699, 0.7304], [0.7629, 0.2371, 0.0000], [0.7650, 0.2350, 0.5000]],
  "spacegroup": "No. 12",
  "final_energy_ev_per_atom": -8.11,
  "raw_formation_energy_ev_per_atom": -2.31
}


Entry 8:
{
  "formula": "SrTm2TiN4",
  "functional": "GGA-PBE",
  "state": "optimized geometry",
  "lattice_angstrom": [[1.7184, -5.9315, 0.0000], [1.7184, 5.9315, 0.0000], [0.0000, 0.0000, 11.7759]],
  "species": ["Sr", "Sr", "Tm", "Tm", "Tm", "Tm", "Ti", "Ti", "N", "N", "N", "N", "N", "N", "N", "N"],
  "frac_coords": [[0.1015, 0.8985, 0.7500], [0.8985, 0.1015, 0.2500], [0.3709, 0.6291, 0.5379], [0.3709, 0.6291, 0.9621], [0.6291, 0.3709, 0.0379], [0.6291, 0.3709, 0.4621], [0.1670, 0.8330, 0.2500], [0.8330, 0.1670, 0.7500], [0.0000, 0.0000, 0.0000], [0.0000, 0.0000, 0.5000], [0.2573, 0.7427, 0.1188], [0.2573, 0.7427, 0.3812], [0.4177, 0.5823, 0.7500], [0.5823, 0.4177, 0.2500], [0.7427, 0.2573, 0.6188], [0.7427, 0.2573, 0.8812]],
  "spacegroup": "No. 63",
  "final_energy_ev_per_atom": -8.00,
  "raw_formation_energy_ev_per_atom": -1.52
}


Entry 9:
{
  "formula": "ZrReAg2",
  "functional": "GGA-PBE",
  "state": "optimized geometry",
  "lattice_angstrom": [[9.6769, 0.0000, 0.0000], [0.0000, 2.7529, 0.0000], [-0.6297, 0.0000, 5.3413]],
  "species": ["Zr", "Zr", "Re", "Re", "Ag", "Ag", "Ag", "Ag"],
  "frac_coords": [[0.0000, 0.0000, 0.0000], [0.5000, 0.5000, 0.0000], [0.2526, 0.5000, 0.2423], [0.7526, 0.0000, 0.2423], [0.2460, 0.0000, 0.7257], [0.4965, 0.0000, 0.4939], [0.7460, 0.5000, 0.7257], [0.9965, 0.5000, 0.4939]],
  "spacegroup": "No. 8",
  "final_energy_ev_per_atom": -6.33
}


Entry 10:
{
  "formula": "LuPaTc2",
  "functional": "GGA-PBE",
  "state": "optimized geometry",
  "lattice_angstrom": [[3.3405, 0.0000, 0.0000], [-1.6703, 2.8930, 0.0000], [0.0000, 0.0000, 27.6044]],
  "species": ["Lu", "Lu", "Lu", "Pa", "Pa", "Pa", "Tc", "Tc", "Tc", "Tc", "Tc", "Tc"],
  "frac_coords": [[0.0000, 0.0000, 0.0000], [0.3333, 0.6667, 0.6667], [0.6667, 0.3333, 0.3333], [0.0000, 0.0000, 0.5000], [0.3333, 0.6667, 0.1667], [0.6667, 0.3333, 0.8333], [0.0000, 0.0000, 0.1012], [0.0000, 0.0000, 0.8988], [0.3333, 0.6667, 0.5655], [0.3333, 0.6667, 0.7678], [0.6667, 0.3333, 0.2322], [0.6667, 0.3333, 0.4345]],
  "spacegroup": "No. 166",
  "final_energy_ev_per_atom": -8.28
}


Entry 11:
{
  "formula": "CsYW2",
  "functional": "GGA-PBE",
  "state": "optimized geometry",
  "lattice_angstrom": [[7.1431, 0.0000, 0.0000], [0.0000, 7.1431, 0.0000], [0.0000, 0.0000, 7.1431]],
  "species": ["Cs", "Cs", "Cs", "Cs", "Y", "Y", "Y", "Y", "W", "W", "W", "W", "W", "W", "W", "W"],
  "frac_coords": [[0.0000, 0.0000, 0.0000], [0.0000, 0.5000, 0.5000], [0.5000, 0.0000, 0.5000], [0.5000, 0.5000, 0.0000], [0.0000, 0.0000, 0.5000], [0.0000, 0.5000, 0.0000], [0.5000, 0.0000, 0.0000], [0.5000, 0.5000, 0.5000], [0.2500, 0.2500, 0.2500], [0.2500, 0.2500, 0.7500], [0.2500, 0.7500, 0.2500], [0.2500, 0.7500, 0.7500], [0.7500, 0.2500, 0.2500], [0.7500, 0.2500, 0.7500], [0.7500, 0.7500, 0.2500], [0.7500, 0.7500, 0.7500]],
  "spacegroup": "No. 225",
  "final_energy_ev_per_atom": -6.06
}


Entry 12:
{
  "formula": "LuZnCd",
  "functional": "GGA-PBE",
  "state": "optimized geometry",
  "lattice_angstrom": [[6.5566, 0.0000, 0.0000], [0.0000, 6.5566, 0.0000], [0.0000, 0.0000, 6.5566]],
  "species": ["Lu", "Lu", "Lu", "Lu", "Zn", "Zn", "Zn", "Zn", "Cd", "Cd", "Cd", "Cd"],
  "frac_coords": [[0.0000, 0.0000, 0.0000], [0.0000, 0.5000, 0.5000], [0.5000, 0.0000, 0.5000], [0.5000, 0.5000, 0.0000], [0.2500, 0.2500, 0.7500], [0.2500, 0.7500, 0.2500], [0.7500, 0.2500, 0.2500], [0.7500, 0.7500, 0.7500], [0.0000, 0.0000, 0.5000], [0.0000, 0.5000, 0.0000], [0.5000, 0.0000, 0.0000], [0.5000, 0.5000, 0.5000]],
  "spacegroup": "No. 216",
  "final_energy_ev_per_atom": -2.36
}